[1]
This record from the Alexandria database describes a geometry-optimized YMn2Br structure. The functional is PBE-GGA.

Results
polymorph energy (0 for the lowest one)	149	kJ/mol of formula units
raw formation energy	0.292	eV per atom
total magnetic moment	15.91	μB per cell

```
YMn2Br
1.0
5.5578 0.0000 0.0000
0.0000 9.6042 0.0000
0.0000 0.0000 3.4642
Y Mn Br
2 4 2
Cartesian
0.0000 0.0000 0.0000
2.7789 4.8021 0.0000
1.3895 2.4010 1.7321
1.3895 7.2031 1.7321
4.1684 2.4010 1.7321
4.1684 7.2031 1.7321
0.0000 4.8021 0.0000
2.7789 0.0000 0.0000
```

[2]
This record from the Alexandria database describes a geometry-optimized LaPmY2Se4 structure. The functional is PBE-GGA.

Results
raw formation energy	-1.844	eV per atom
total magnetic moment	0.00	μB per cell

```
LaPmY2Se4
1.0
7.1710 0.0000 0.0000
0.0000 4.1120 0.0000
-2.3650 0.0000 6.9581
La Pm Y Se
1 1 2 4
Cartesian
0.0000 0.0000 0.0000
3.5855 2.0560 0.0000
-1.1825 2.0560 3.4791
2.4030 0.0000 3.4791
0.0394 0.0000 5.1283
1.2257 2.0560 1.8488
3.5803 2.0560 5.1093
4.7666 0.0000 1.8299
```

[3]
This record from the Alexandria database describes a geometry-optimized Sc2CrCdPb structure. The functional is PBE-GGA.

Results
polymorph energy (0 for the lowest one)	107	kJ/mol of formula units
energy relative to the elements	0.94	eV/atom
total magnetic moment	4.92	μB per cell

```
Sc2CrCdPb
1.0
5.3244 0.0000 0.0000
0.0000 5.3244 0.0000
0.0000 0.0000 5.4417
Sc Cr Cd Pb
2 1 1 1
Cartesian
0.0000 2.6622 0.0000
2.6622 0.0000 0.0000
0.0000 0.0000 2.7208
2.6622 2.6622 0.0000
2.6622 2.6622 2.7208
```

[4]
This record from the Alexandria database describes a geometry-optimized BaSc2Br structure. The functional is PBE-GGA.

Results
polymorph energy (0 for the lowest one)	94	kJ/mol of formula units
raw formation energy	-0.147	eV per atom
total magnetic moment	0.70	μB per cell

```
BaSc2Br
1.0
3.6071 0.0000 0.0000
0.0000 5.4725 0.0000
0.0000 0.0000 6.5785
Ba Sc Br
1 2 1
Cartesian
0.0000 0.0000 0.0000
0.0000 2.7363 3.2893
1.8035 0.0000 3.2893
1.8035 2.7363 0.0000
```

[5]
This record from the Alexandria database describes a geometry-optimized TiAgRh structure. The functional is PBE-GGA.

Results
polymorph energy (0 for the lowest one)	129	kJ/mol of formula units
energy relative to the elements	0.34	eV/atom
total magnetic moment	0.14	μB per cell

```
TiAgRh
1.0
2.7361 0.0000 0.0000
0.0000 2.7361 0.0000
0.0000 0.0000 14.3880
Ti Ag Rh
2 2 2
Cartesian
0.0000 0.0000 0.0000
1.3680 1.3680 7.1940
0.0000 0.0000 2.7742
1.3680 1.3680 9.9682
0.0000 0.0000 12.1631
1.3680 1.3680 4.9691
```

[6]
This record from the Alexandria database describes a geometry-optimized CrTeH2Rh structure. The functional is PBE-GGA.

Results
total magnetic moment	0.00	μB per cell

```
CrTeH2Rh
1.0
3.5967 0.0000 0.0000
0.0000 3.5967 0.0000
0.0000 0.0000 5.4796
Cr Te H Rh
1 1 2 1
Cartesian
0.0000 0.0000 0.0000
0.0000 0.0000 2.7398
0.0000 1.7983 2.7398
1.7983 0.0000 2.7398
1.7983 1.7983 0.0000
```

[7]
This record from the Alexandria database describes a geometry-optimized TeOsCl2 structure. The functional is PBE-GGA.

Results
polymorph energy (0 for the lowest one)	499	kJ/mol of formula units
raw formation energy	1.248	eV per atom
total magnetic moment	2.96	μB per cell

```
TeOsCl2
1.0
4.2270 0.0000 0.0000
0.0000 4.2270 0.0000
0.0000 0.0000 4.7547
Te Os Cl
1 1 2
Cartesian
0.0000 0.0000 0.0000
2.1135 2.1135 0.0000
0.0000 2.1135 2.3774
2.1135 0.0000 2.3774
```

[8]
This record from the Alexandria database describes a geometry-optimized KN2ClF structure. The functional is PBE-GGA.

Results
polymorph energy (0 for the lowest one)	0	kJ/mol of formula units
raw formation energy	0.933	eV per atom
total magnetic moment	1.03	μB per cell

```
KN2ClF
1.0
3.7107 0.0000 0.0000
0.0000 3.7107 0.0000
0.0000 0.0000 6.0471
K N Cl F
1 2 1 1
Cartesian
0.0000 0.0000 0.0000
0.0000 1.8553 3.0236
1.8553 0.0000 3.0236
1.8553 1.8553 3.0236
1.8553 1.8553 0.0000
```

Per-record DFT total energy, eV/atom: -6.327, -6.412, -4.440, -4.211, -5.690, -4.435, -3.268, -3.361